(1)
{
  "formula": "YC",
  "functional": "PBEsol",
  "state": "relaxed",
  "e_above_lowest_polymorph_mev_per_atom": 70,
  "delta_e_f_ev_per_fu": 0.57,
  "cell": [[4.137, 0.000, 0.000], [-2.068, 3.582, 0.000], [0.000, 0.000, 5.067]],
  "species": ["Y", "Y", "C", "C"],
  "fractional_positions": [[0.333, 0.667, 0.250], [0.667, 0.333, 0.750], [0.333, 0.667, 0.750], [0.667, 0.333, 0.250]]
}


(2)
{
  "formula": "CaGa3Pt",
  "functional": "PBEsol",
  "state": "relaxed",
  "e_above_lowest_polymorph_mev_per_atom": 0,
  "delta_e_f_ev_per_fu": -3.36,
  "cell": [[-2.082, 2.082, 5.465], [2.082, -2.082, 5.465], [2.082, 2.082, -5.465]],
  "species": ["Ca", "Ga", "Ga", "Ga", "Pt"],
  "fractional_positions": [[0.000, 0.000, 0.000], [0.248, 0.748, 0.500], [0.394, 0.394, 0.000], [0.748, 0.248, 0.500], [0.618, 0.618, 0.000]]
}


(3)
{
  "formula": "TlIn2Hg",
  "functional": "PBEsol",
  "state": "relaxed",
  "delta_e_f_ev_per_fu": 0.05,
  "cell": [[0.000, 3.702, 3.702], [3.702, 0.000, 3.702], [3.702, 3.702, 0.000]],
  "species": ["Tl", "In", "In", "Hg"],
  "fractional_positions": [[0.000, 0.000, 0.000], [0.250, 0.250, 0.250], [0.750, 0.750, 0.750], [0.500, 0.500, 0.500]]
}


(4)
{
  "formula": "MgIn2Tc",
  "functional": "PBEsol",
  "state": "relaxed",
  "delta_e_f_ev_per_fu": 0.74,
  "cell": [[2.949, 0.000, 0.000], [0.000, 4.887, 0.000], [0.000, 0.000, 5.086]],
  "species": ["Mg", "In", "In", "Tc"],
  "fractional_positions": [[0.000, 0.000, 0.000], [0.500, 0.000, 0.518], [0.500, 0.500, 0.176], [0.000, 0.500, 0.689]]
}


Raw total energy / eV/cell: -31.8; -22.5; -9.1; -18.2